Compound: Li4Ag3Au2
Source: Alexandria via LeMat-Bulk
Functional: GGA-PBE
Structure: relaxed

It has space group C2/m (No. 12), with a = 8.442 Å, b = 4.193 Å, c = 8.368 Å, α = 90.00°, β = 101.49° and γ = 90.00°. Symmetry generates all atoms from Li at (0.008, 0.000, 0.331), Li at (0.164, 0.500, 0.891), Ag at (0.000, 0.000, 0.000), Ag at (0.166, 0.500, 0.565) and Au at (0.172, 0.500, 0.216).

The calculation puts the energy above the most stable polymorph in this dataset at 0.0 kJ/mol of atoms. For the volume, the calculation gives 16.13 Å³/atom. The magnetic moment comes out at 0.00 μB/atom.